Entry 1:
DFT (PBE) results for a relaxed structure of AcTmTe.

Values from the calculation:
The uncorrected formation energy is -0.75 eV per atom. The relative energy among the computed polymorphs is 0.011 eV per atom.

a b c (Å): 3.992 3.992 12.628
angles (deg): 90.00 90.00 90.00
Space group I4mm (No. 107)
Asymmetric unit:
Ac 0.000 0.000 0.000 (multiplicity 2)
Tm 0.000 0.000 0.307 (multiplicity 2)
Te 0.000 0.000 0.693 (multiplicity 2)

=====

Entry 2:
DFT (PBE) results for a relaxed structure of Rb3Sc3US8.

Values from the calculation:
The uncorrected formation energy is -1.67 eV per atom.

a b c (Å): 7.7218 7.7218 23.2965
angles (deg): 90.00 90.00 120.00
Space group R-3m (No. 166, hexagonal axes)
Asymmetric unit:
Rb 0.0000 0.5000 0.0000 (multiplicity 9)
Sc 0.0000 0.5000 0.5000 (multiplicity 9)
U 0.0000 0.0000 0.5000 (multiplicity 3)
S 0.0000 0.0000 0.2269 (multiplicity 6)
S 0.0080 0.5040 0.7723 (multiplicity 18)

=====

Entry 3:
DFT (PBE) results for a relaxed structure of MoAsPdSe2.

Values from the calculation:
The uncorrected formation energy is 0.88 eV per atom. The relative energy among the computed polymorphs is 0.367 eV per atom.

a b c (Å): 4.971 4.971 4.716
angles (deg): 90.00 90.00 90.00
Space group P4/mmm (No. 123)
Asymmetric unit:
Mo 0.000 0.000 0.000 (multiplicity 1)
As 0.500 0.500 0.000 (multiplicity 1)
Pd 0.500 0.500 0.500 (multiplicity 1)
Se 0.000 0.500 0.500 (multiplicity 2)

=====

Entry 4:
DFT (PBE) results for a relaxed structure of Ac2Mg12Tl7.

Values from the calculation:
The value obtained for the calculated formation energy is -0.138 eV per atom.

a b c (Å): 11.7825 11.7825 4.6016
angles (deg): 90.00 90.00 120.00
Space group P-3 (No. 147)
Asymmetric unit:
Ac 0.3333 0.6667 0.2593 (multiplicity 2)
Mg 0.0441 0.4291 0.7506 (multiplicity 6)
Mg 0.1118 0.2654 0.2450 (multiplicity 6)
Tl 0.0000 0.0000 0.5000 (multiplicity 1)
Tl 0.1294 0.7103 0.7515 (multiplicity 6)

=====

no.,DOS(E_F) (states/eV per cell)
1,7.13
2,18.03
3,3.01
4,8.36